Below is EuScIn2 after structural relaxation, with properties calculated at the PBE-GGA level.

Structure (POSCAR):
```
EuScIn2
1.0
3.730 0.000 0.000
0.000 5.322 0.000
0.000 0.000 5.322
Sc In Eu
1 2 1
Direct
0.500 0.000 0.000 Sc
0.000 0.500 0.000 In
0.000 0.000 0.500 In
0.500 0.500 0.500 Eu
```

Calculated values
* size of the total moment: 7.36 μB/cell
* energy above the lowest structure with this stoichiometry: 89 meV/atom
* formation enthalpy at 0 K: -356 meV/atom